# 1
The following is a DFT calculation (PBE with a Hubbard U) of a relaxed structure of Rb3Sr2MoO6.

Structure (extended XYZ):
```
12
Lattice="-3.258 -4.369 2.990 5.751 -1.213 -2.025 1.588 3.898 5.305" Properties=species:S:1:pos:R:3 pbc="T T T"
O 2.024 -1.708 5.823
O 1.829 2.062 4.583
Sr 2.773 -2.257 -0.367
O 2.057 0.023 0.447
O 2.252 -3.747 1.687
O -0.478 -0.866 1.859
Rb 5.046 0.210 1.462
O 4.559 -0.820 4.412
Rb -0.964 -1.895 4.808
Sr -0.279 -3.326 1.332
Rb 2.041 -0.843 3.135
Mo 0.000 0.000 0.000
```

# 2
8
Lattice="-5.570 -0.462 -2.268 0.410 -0.590 5.989 2.554 5.441 -0.506" Properties=species:S:1:pos:R:3 comment="Rb2SrMoO4 PBE with a Hubbard U optimized geometry" dos_at_fermi_per_ev_cell=0.00 pbc="T T T"
Sr -0.767 3.702 -0.016
Mo 1.482 2.425 2.741
O 1.374 3.466 1.132
O -0.034 3.273 3.559
O -2.182 1.753 0.376
Rb 0.000 0.000 0.000
Rb -1.839 0.687 3.231
O -4.369 0.285 1.363

# 3
14
Lattice="-1.818 -5.582 2.556 5.889 2.259 1.102 -2.731 3.905 6.586" Properties=species:S:1:pos:R:3 comment="Rb3SrMo2O8 PBE with a Hubbard U optimized geometry" dos_at_fermi_per_ev_cell=6.68 pbc="T T T"
O 2.817 -0.515 4.603
O 0.927 1.028 2.904
Mo -1.356 0.046 7.154
O 0.414 -0.446 7.341
Rb -0.134 -1.702 4.207
Mo 2.697 0.537 3.090
Sr -1.365 1.953 3.293
O -1.477 1.098 5.642
O 3.299 -0.324 1.638
O 3.662 2.077 3.416
Rb 0.000 0.000 0.000
O -2.321 -1.494 6.829
Rb 1.475 2.284 6.038
O -1.958 0.907 8.607

| no. | VASP energy (eV/f.u.) |
| --- | --- |
| 1 | -66.7 |
| 2 | -45.1 |
| 3 | -85.6 |